Density functional theory data (PBEsol) for an optimized crystal structure of CaFe2N.

Output
The value obtained for the density of states at the Fermi level is 4.39 states/eV/f.u. For the total energy, the calculation gives -5.790 eV/atom. Its symmetry is No. 225. The uncorrected formation energy is 1357 meV per atom.

Cell lengths 4.079, 4.079, 4.079 Å; angles 60.00, 60.00, 60.00 degrees
Last column: magnetic moment on the atom in μB.
Atoms (fractional coordinates):
Ca (0.500, 0.500, 0.500)  -0.14
Fe (0.250, 0.250, 0.250)  2.51
Fe (0.750, 0.750, 0.750)  2.51
N (0.000, 0.000, 0.000)  0.24



Density functional theory data (PBEsol) for an optimized crystal structure of Ti4FeNi.

Output
The value obtained for the density of states at the Fermi level is 5.78 states/eV/f.u. For the total energy, the calculation gives -8.342 eV/atom. Its symmetry is No. 216. The formation energy comes out at -1.64 eV/f.u.

Cell lengths 7.856, 7.856, 7.856 Å; angles 60.00, 60.00, 60.00 degrees
Atoms (fractional coordinates):
Ti (0.124, 0.629, 0.124)
Ti (0.124, 0.124, 0.124)
Ti (0.629, 0.124, 0.124)
Ti (0.124, 0.124, 0.629)
Ti (0.558, 0.942, 0.558)
Ti (0.942, 0.558, 0.942)
Ti (0.942, 0.942, 0.558)
Ti (0.558, 0.558, 0.942)
Ti (0.942, 0.558, 0.558)
Ti (0.558, 0.942, 0.942)
Ti (0.684, 0.316, 0.684)
Ti (0.316, 0.684, 0.316)
Ti (0.316, 0.316, 0.684)
Ti (0.684, 0.684, 0.316)
Ti (0.316, 0.684, 0.684)
Ti (0.684, 0.316, 0.316)
Fe (0.337, 0.989, 0.337)
Fe (0.337, 0.337, 0.337)
Fe (0.989, 0.337, 0.337)
Fe (0.337, 0.337, 0.989)
Ni (0.907, 0.280, 0.907)
Ni (0.907, 0.907, 0.907)
Ni (0.280, 0.907, 0.907)
Ni (0.907, 0.907, 0.280)



Density functional theory data (PBEsol) for an optimized crystal structure of W3O8.

Output
The value obtained for the density of states at the Fermi level is 3.49 states/eV/f.u. For the total energy, the calculation gives -9.660 eV/atom. Its symmetry is No. 65. The uncorrected formation energy is -2077 meV per atom.

Cell lengths 3.791, 6.083, 6.083 Å; angles 116.03, 90.00, 90.00 degrees
Last column: magnetic moment on the atom in μB.
Atoms (fractional coordinates):
W (0.500, 0.315, 0.685)  0.04
W (0.500, 0.685, 0.315)  0.04
W (0.500, 0.000, 0.000)  0.42
O (0.000, 0.310, 0.690)  0.00
O (0.000, 0.690, 0.310)  0.00
O (0.500, 0.500, 0.500)  0.00
O (0.000, 0.000, 0.000)  -0.01
O (0.500, 0.960, 0.664)  0.00
O (0.500, 0.336, 0.040)  0.00
O (0.500, 0.040, 0.336)  0.00
O (0.500, 0.664, 0.960)  0.00